This record from Alexandria describes a relaxed VZnFeO4 crystal. The functional is PBE+U.

Calculated values
total magnetic moment = 10.0 Bohr magnetons per cell
final energy = -6.5718 eV/atom

Lattice parameters (Å, degrees): 5.984 6.068 6.068 60.16 60.46 60.46
Element x y z (fractional)
V  0.000  0.000  0.000
V  0.000  0.500  0.500
Zn  0.634  0.616  0.116
Zn  0.366  0.384  0.884
Fe  0.500  0.000  0.500
Fe  0.000  0.000  0.500
O  0.779  0.729  0.714
O  0.221  0.786  0.771
O  0.779  0.214  0.229
O  0.221  0.271  0.286
O  0.226  0.747  0.247
O  0.779  0.747  0.247
O  0.221  0.253  0.753
O  0.774  0.253  0.753